VASP calculation (PBE-GGA) on a relaxed AgH3Pd crystal.

## Properties
* E: -3.1189 eV/atom
* total magnetic moment: 0.00 μB/atom
* distance to the lowest polymorph of the same formula: 0.399 eV/atom

a b c (Å): 3.5834 3.5834 3.5834
angles (deg): 90.00 90.00 90.00
Element x y z (fractional)
Ag: 0.0000 0.0000 0.0000
H: 0.0000 0.0000 0.5000
H: 0.0000 0.5000 0.0000
H: 0.5000 0.0000 0.0000
Pd: 0.5000 0.5000 0.5000

---

VASP calculation (PBE-GGA) on a relaxed NiMoSe2 crystal.

## Properties
* E: -5.8750 eV/atom
* total magnetic moment: 0.00 μB/atom
* distance to the lowest polymorph of the same formula: 0.332 eV/atom

a b c (Å): 6.6049 6.6049 6.6049
angles (deg): 129.61 129.61 74.03
Element x y z (fractional)
Ni: 0.0000 0.0000 0.0000
Ni: 0.7500 0.2500 0.5000
Mo: 0.2500 0.7500 0.5000
Mo: 0.5000 0.5000 0.0000
Se: 0.1082 0.6250 0.9832
Se: 0.3750 0.3582 0.4832
Se: 0.6418 0.1250 0.0168
Se: 0.8750 0.8918 0.5168

---

VASP calculation (PBE-GGA) on a relaxed LiSnS crystal.

## Properties
* E: -3.8967 eV/atom
* total magnetic moment: 0.00 μB/atom
* distance to the lowest polymorph of the same formula: 0.218 eV/atom

a b c (Å): 3.6358 3.6358 11.0823
angles (deg): 90.00 90.00 120.00
Element x y z (fractional)
Li: 0.0000 0.0000 0.0000
Li: 0.0000 0.0000 0.5000
Sn: 0.3333 0.6667 0.2750
Sn: 0.6667 0.3333 0.7750
S: 0.3333 0.6667 0.6089
S: 0.6667 0.3333 0.1089

---

VASP calculation (PBE-GGA) on a relaxed SmThHg crystal.

## Properties
* E: -4.3719 eV/atom
* total magnetic moment: 0.00 μB/atom
* formation energy: -0.225 eV per atom
* distance to the lowest polymorph of the same formula: 0.000 eV/atom

a b c (Å): 9.0065 9.0065 5.5602
angles (deg): 90.00 90.00 156.79
Element x y z (fractional)
Sm: 0.0866 0.9134 0.7500
Sm: 0.9134 0.0866 0.2500
Th: 0.2260 0.7740 0.2500
Th: 0.7740 0.2260 0.7500
Hg: 0.4351 0.5649 0.7500
Hg: 0.5649 0.4351 0.2500